DFT (PBE-GGA) results for PuBeFe2 after structural relaxation.

Output
As for the energy above the most stable polymorph in this dataset: 5.6 meV per atom. The value obtained for the magnetization is 2.2 μB per cell. Its crystal system is tetragonal. The formation energy comes out at 0.0975 eV per atom. Its calculated volume is 52.5 Å³ per cell.

```
data_PuBeFe2
_chemical_formula_sum 'Pu1 Be1 Fe2'
_cell_length_a 3.916
_cell_length_b 3.916
_cell_length_c 3.423
_cell_angle_alpha 90.00
_cell_angle_beta 90.00
_cell_angle_gamma 90.00
_symmetry_space_group_name_H-M 'P 4/m m m'
_symmetry_Int_Tables_number 123
_symmetry_space_group_name_Hall '-P 4 2'
loop_
_atom_site_label
_atom_site_type_symbol
_atom_site_fract_x
_atom_site_fract_y
_atom_site_fract_z
Pu1 Pu 0.000 0.000 0.000
Be1 Be 0.500 0.500 0.000
Fe1 Fe 0.000 0.500 0.500
```


DFT (PBE-GGA) results for PuBeFe2 after structural relaxation.

Output
As for the energy above the most stable polymorph in this dataset: 145.3 meV per atom. The value obtained for the magnetization is 6.8 μB per cell. Its crystal system is tetragonal. The formation energy comes out at 0.2371 eV per atom. Its calculated volume is 51.6 Å³ per cell.

```
data_PuBeFe2
_chemical_formula_sum 'Pu1 Be1 Fe2'
_cell_length_a 2.815
_cell_length_b 2.815
_cell_length_c 6.510
_cell_angle_alpha 90.00
_cell_angle_beta 90.00
_cell_angle_gamma 90.00
_symmetry_space_group_name_H-M 'P 4/m m m'
_symmetry_Int_Tables_number 123
_symmetry_space_group_name_Hall '-P 4 2'
loop_
_atom_site_label
_atom_site_type_symbol
_atom_site_fract_x
_atom_site_fract_y
_atom_site_fract_z
Pu1 Pu 0.000 0.000 0.000
Be1 Be 0.000 0.000 0.500
Fe1 Fe 0.500 0.500 0.327
```


DFT (PBE-GGA) results for Pu2BeFe3 after structural relaxation.

Output
The value obtained for the magnetization is 10.9 μB per cell. Its crystal system is monoclinic. The formation energy comes out at -0.0769 eV per atom. Its calculated volume is 174.7 Å³ per cell.

```
data_Pu2BeFe3
_chemical_formula_sum 'Pu4 Be2 Fe6'
_cell_length_a 7.776
_cell_length_b 5.231
_cell_length_c 5.270
_cell_angle_alpha 90.00
_cell_angle_beta 125.43
_cell_angle_gamma 90.00
_symmetry_space_group_name_H-M 'C 1 2/m 1'
_symmetry_Int_Tables_number 12
_symmetry_space_group_name_Hall '-C 2y'
loop_
_atom_site_label
_atom_site_type_symbol
_atom_site_fract_x
_atom_site_fract_y
_atom_site_fract_z
Pu1 Pu 0.121 0.000 0.364
Be1 Be 0.000 0.500 0.000
Fe1 Fe 0.000 0.500 0.500
Fe2 Fe 0.250 0.250 0.000
```


DFT (PBE-GGA) results for PuBeFe4 after structural relaxation.

Output
The value obtained for the magnetization is 39.0 μB per cell. Its crystal system is cubic. The formation energy comes out at 0.2970 eV per atom. Its calculated volume is 316.6 Å³ per cell.

```
data_PuBeFe4
_chemical_formula_sum 'Pu4 Be4 Fe16'
_cell_length_a 6.816
_cell_length_b 6.816
_cell_length_c 6.816
_cell_angle_alpha 90.00
_cell_angle_beta 90.00
_cell_angle_gamma 90.00
_symmetry_space_group_name_H-M 'F -4 3 m'
_symmetry_Int_Tables_number 216
_symmetry_space_group_name_Hall 'F -4 2 3'
loop_
_atom_site_label
_atom_site_type_symbol
_atom_site_fract_x
_atom_site_fract_y
_atom_site_fract_z
Pu1 Pu 0.000 0.000 0.000
Be1 Be 0.250 0.250 0.250
Fe1 Fe 0.124 0.124 0.624
```


DFT (PBE-GGA) results for PuBeFe2 after structural relaxation.

Output
As for the energy above the most stable polymorph in this dataset: 0.0 meV per atom. The value obtained for the magnetization is 10.9 μB per cell. Its crystal system is cubic. The formation energy comes out at 0.0919 eV per atom. Its calculated volume is 211.0 Å³ per cell.

```
data_PuBeFe2
_chemical_formula_sum 'Pu4 Be4 Fe8'
_cell_length_a 5.954
_cell_length_b 5.954
_cell_length_c 5.954
_cell_angle_alpha 90.00
_cell_angle_beta 90.00
_cell_angle_gamma 90.00
_symmetry_space_group_name_H-M 'F m -3 m'
_symmetry_Int_Tables_number 225
_symmetry_space_group_name_Hall '-F 4 2 3'
loop_
_atom_site_label
_atom_site_type_symbol
_atom_site_fract_x
_atom_site_fract_y
_atom_site_fract_z
Pu1 Pu 0.000 0.000 0.000
Be1 Be 0.000 0.000 0.500
Fe1 Fe 0.250 0.250 0.250
```


DFT (PBE-GGA) results for Pu2BeFe2Si2 after structural relaxation.

Output
The value obtained for the magnetization is 23.4 μB per cell. Its crystal system is tetragonal. Its calculated volume is 224.4 Å³ per cell. The formation energy without anion corrections comes out at -1.59 eV/f.u.

```
data_Pu2BeFe2Si2
_chemical_formula_sum 'Pu4 Be2 Fe4 Si4'
_cell_length_a 3.941
_cell_length_b 3.941
_cell_length_c 14.442
_cell_angle_alpha 90.00
_cell_angle_beta 90.00
_cell_angle_gamma 90.00
_symmetry_space_group_name_H-M 'I 4/m m m'
_symmetry_Int_Tables_number 139
_symmetry_space_group_name_Hall '-I 4 2'
loop_
_atom_site_label
_atom_site_type_symbol
_atom_site_fract_x
_atom_site_fract_y
_atom_site_fract_z
Pu1 Pu 0.000 0.000 0.181
Be1 Be 0.000 0.000 0.000
Fe1 Fe 0.000 0.500 0.000
Si1 Si 0.000 0.000 0.406
```


DFT (PBE-GGA) results for RbBe3Fe after structural relaxation.

Output
The value obtained for the magnetization is 1.0 μB per cell. Its crystal system is cubic. The formation energy comes out at 0.9702 eV per atom. Its calculated volume is 88.4 Å³ per cell.

```
data_RbBe3Fe
_chemical_formula_sum 'Rb1 Be3 Fe1'
_cell_length_a 4.454
_cell_length_b 4.454
_cell_length_c 4.454
_cell_angle_alpha 90.00
_cell_angle_beta 90.00
_cell_angle_gamma 90.00
_symmetry_space_group_name_H-M 'P m -3 m'
_symmetry_Int_Tables_number 221
_symmetry_space_group_name_Hall '-P 4 2 3'
loop_
_atom_site_label
_atom_site_type_symbol
_atom_site_fract_x
_atom_site_fract_y
_atom_site_fract_z
Rb1 Rb 0.000 0.000 0.000
Be1 Be 0.000 0.500 0.500
Fe1 Fe 0.500 0.500 0.500
```


DFT (PBE-GGA) results for RbBeFe2 after structural relaxation.

Output
The value obtained for the magnetization is 19.9 μB per cell. Its crystal system is tetragonal. The formation energy comes out at 1.1463 eV per atom. Its calculated volume is 371.1 Å³ per cell.

```
data_RbBeFe2
_chemical_formula_sum 'Rb4 Be4 Fe8'
_cell_length_a 4.861
_cell_length_b 4.861
_cell_length_c 15.707
_cell_angle_alpha 90.00
_cell_angle_beta 90.00
_cell_angle_gamma 90.00
_symmetry_space_group_name_H-M 'I 41/a m d'
_symmetry_Int_Tables_number 141
loop_
_symmetry_equiv_pos_as_xyz
'x,y,z'
'-x,-y,-z'
'-y+1/4,x+3/4,z+1/4'
'y+1/4,-x+3/4,-z+1/4'
'-x+1/2,-y,z+1/2'
'x+1/2,y,-z+1/2'
'y+1/4,-x+1/4,z+3/4'
'-y+1/4,x+1/4,-z+3/4'
'x,-y,-z'
'-x,y,z'
'-y+1/4,-x+1/4,-z+3/4'
'y+1/4,x+1/4,z+3/4'
'-x+1/2,y,-z+1/2'
'x+1/2,-y,z+1/2'
'y+1/4,x+3/4,-z+1/4'
'-y+1/4,-x+3/4,z+1/4'
'x+1/2,y+1/2,z+1/2'
'-x+1/2,-y+1/2,-z+1/2'
'-y+3/4,x+1/4,z+3/4'
'y+3/4,-x+1/4,-z+3/4'
'-x,-y+1/2,z'
'x,y+1/2,-z'
'y+3/4,-x+3/4,z+1/4'
'-y+3/4,x+3/4,-z+1/4'
'x+1/2,-y+1/2,-z+1/2'
'-x+1/2,y+1/2,z+1/2'
'-y+3/4,-x+3/4,-z+1/4'
'y+3/4,x+3/4,z+1/4'
'-x,y+1/2,-z'
'x,-y+1/2,z'
'y+3/4,x+1/4,-z+3/4'
'-y+3/4,-x+1/4,z+3/4'
loop_
_atom_site_label
_atom_site_type_symbol
_atom_site_fract_x
_atom_site_fract_y
_atom_site_fract_z
Rb1 Rb 0.000 0.250 0.375
Be1 Be 0.000 0.250 0.875
Fe1 Fe 0.000 0.000 0.000
```


DFT (PBE-GGA) results for Rb2BeFe after structural relaxation.

Output
The value obtained for the magnetization is 0.7 μB per cell. Its crystal system is tetragonal. The formation energy comes out at 1.8464 eV per atom. Its calculated volume is 429.5 Å³ per cell.

```
data_Rb2BeFe
_chemical_formula_sum 'Rb8 Be4 Fe4'
_cell_length_a 4.325
_cell_length_b 4.325
_cell_length_c 22.965
_cell_angle_alpha 90.00
_cell_angle_beta 90.00
_cell_angle_gamma 90.00
_symmetry_space_group_name_H-M 'I -4 2 d'
_symmetry_Int_Tables_number 122
_symmetry_space_group_name_Hall 'I -4 2bw'
loop_
_atom_site_label
_atom_site_type_symbol
_atom_site_fract_x
_atom_site_fract_y
_atom_site_fract_z
Rb1 Rb 0.248 0.250 0.125
Be1 Be 0.000 0.000 0.500
Fe1 Fe 0.000 0.000 0.000
```


DFT (PBE-GGA) results for RbBe2Fe after structural relaxation.

Output
As for the energy above the most stable polymorph in this dataset: 782.5 meV per atom. The value obtained for the magnetization is 0.0 μB per cell. Its crystal system is cubic. The formation energy comes out at 1.8050 eV per atom. Its calculated volume is 274.4 Å³ per cell.

```
data_RbBe2Fe
_chemical_formula_sum 'Rb4 Be8 Fe4'
_cell_length_a 6.498
_cell_length_b 6.498
_cell_length_c 6.498
_cell_angle_alpha 90.00
_cell_angle_beta 90.00
_cell_angle_gamma 90.00
_symmetry_space_group_name_H-M 'F m -3 m'
_symmetry_Int_Tables_number 225
_symmetry_space_group_name_Hall '-F 4 2 3'
loop_
_atom_site_label
_atom_site_type_symbol
_atom_site_fract_x
_atom_site_fract_y
_atom_site_fract_z
Rb1 Rb 0.000 0.000 0.000
Be1 Be 0.250 0.250 0.250
Fe1 Fe 0.000 0.000 0.500
```


DFT (PBE-GGA) results for RbBe2Fe after structural relaxation.

Output
As for the energy above the most stable polymorph in this dataset: 0.0 meV per atom. The value obtained for the magnetization is 8.6 μB per cell. Its crystal system is tetragonal. The formation energy comes out at 1.0224 eV per atom. Its calculated volume is 354.8 Å³ per cell.

```
data_RbBe2Fe
_chemical_formula_sum 'Rb4 Be8 Fe4'
_cell_length_a 4.800
_cell_length_b 4.800
_cell_length_c 15.395
_cell_angle_alpha 90.00
_cell_angle_beta 90.00
_cell_angle_gamma 90.00
_symmetry_space_group_name_H-M 'I 41/a m d'
_symmetry_Int_Tables_number 141
loop_
_symmetry_equiv_pos_as_xyz
'x,y,z'
'-x,-y,-z'
'-y+1/4,x+3/4,z+1/4'
'y+1/4,-x+3/4,-z+1/4'
'-x+1/2,-y,z+1/2'
'x+1/2,y,-z+1/2'
'y+1/4,-x+1/4,z+3/4'
'-y+1/4,x+1/4,-z+3/4'
'x,-y,-z'
'-x,y,z'
'-y+1/4,-x+1/4,-z+3/4'
'y+1/4,x+1/4,z+3/4'
'-x+1/2,y,-z+1/2'
'x+1/2,-y,z+1/2'
'y+1/4,x+3/4,-z+1/4'
'-y+1/4,-x+3/4,z+1/4'
'x+1/2,y+1/2,z+1/2'
'-x+1/2,-y+1/2,-z+1/2'
'-y+3/4,x+1/4,z+3/4'
'y+3/4,-x+1/4,-z+3/4'
'-x,-y+1/2,z'
'x,y+1/2,-z'
'y+3/4,-x+3/4,z+1/4'
'-y+3/4,x+3/4,-z+1/4'
'x+1/2,-y+1/2,-z+1/2'
'-x+1/2,y+1/2,z+1/2'
'-y+3/4,-x+3/4,-z+1/4'
'y+3/4,x+3/4,z+1/4'
'-x,y+1/2,-z'
'x,-y+1/2,z'
'y+3/4,x+1/4,-z+3/4'
'-y+3/4,-x+1/4,z+3/4'
loop_
_atom_site_label
_atom_site_type_symbol
_atom_site_fract_x
_atom_site_fract_y
_atom_site_fract_z
Rb1 Rb 0.000 0.250 0.375
Be1 Be 0.000 0.000 0.000
Fe1 Fe 0.000 0.250 0.875
```


DFT (PBE-GGA) results for Rb3BeFe after structural relaxation.

Output
As for the energy above the most stable polymorph in this dataset: 0.0 meV per atom. The value obtained for the magnetization is 3.5 μB per cell. Its crystal system is cubic. The formation energy comes out at 1.2502 eV per atom. Its calculated volume is 283.5 Å³ per cell.

```
data_Rb3BeFe
_chemical_formula_sum 'Rb3 Be1 Fe1'
_cell_length_a 6.569
_cell_length_b 6.569
_cell_length_c 6.569
_cell_angle_alpha 90.00
_cell_angle_beta 90.00
_cell_angle_gamma 90.00
_symmetry_space_group_name_H-M 'P m -3 m'
_symmetry_Int_Tables_number 221
_symmetry_space_group_name_Hall '-P 4 2 3'
loop_
_atom_site_label
_atom_site_type_symbol
_atom_site_fract_x
_atom_site_fract_y
_atom_site_fract_z
Rb1 Rb 0.000 0.000 0.500
Be1 Be 0.000 0.000 0.000
Fe1 Fe 0.500 0.500 0.500
```